(1)
PrYI5: optimized geometry, PBE.

Cell lengths 9.423, 4.279, 14.933 Å; angles 90.00, 95.11, 90.00 degrees
Space group P2_1/m (No. 11)
Unique sites:
Pr 0.105 0.250 0.150
Y 0.411 0.750 0.343
I 0.073 0.750 0.309
I 0.137 0.250 0.928
I 0.324 0.250 0.480
I 0.355 0.750 0.130
I 0.375 0.750 0.707

Summary:
formation energy without anion corrections	-1.355	eV per atom
crystal system	monoclinic



(2)
PmNdThSn: optimized geometry, PBE.

Cell lengths 7.863, 7.863, 7.863 Å; angles 90.00, 90.00, 90.00 degrees
Space group F-43m (No. 216)
Unique sites:
Pm 0.000 0.000 0.000
Nd 0.250 0.250 0.750
Th 0.250 0.250 0.250
Sn 0.000 0.000 0.500

Summary:
crystal system	cubic
energy relative to the elements	-0.166	eV/atom



(3)
Cd2GaRh2: optimized geometry, PBE.

Cell lengths 6.402, 6.402, 4.329 Å; angles 90.00, 90.00, 90.00 degrees
Space group P4/mbm (No. 127)
Unique sites:
Cd 0.162 0.338 0.000
Ga 0.000 0.000 0.500
Rh 0.145 0.645 0.500

Summary:
crystal system	tetragonal
energy relative to the elements	-0.348	eV/atom